# CoWSeN2

Crystalline CoWSeN2 at its relaxed geometry (PBE, Alexandria).

Lattice parameters (Å, degrees): 3.862 3.862 5.358 90.00 90.00 90.00
Site moments in Bohr magnetons follow the coordinates.
Element x y z (fractional)
Co: 0.500 0.500 0.500  2.15
Se: 0.000 0.000 0.500  0.04
W: 0.000 0.000 0.000  0.01
N: 0.000 0.500 0.000  0.03
N: 0.500 0.000 0.000  0.03

## Properties
Uncorrected formation energy   60 kJ/mol of atoms
Space-group type   No. 123
Volume   16.0 A^3/atom
Mass density   7.27 Mg/m³
DOS(E_F)   7.35 states/eV/f.u.